Entry 1:
Below is a relaxed structure of CdCu2Sn, with properties calculated at the PBE level.

a b c (Å): 4.2369 4.2369 9.4237
angles (deg): 77.01 77.01 90.00
With the nearest neighbours (Å) after each atom.
Fractional coordinates of all 8 atoms:
Cu1 0.3750 0.3350 0.7500  2 Sn 2.63, 2 Cd 2.76, 2 Cu 2.77
Cu2 0.6650 0.1250 0.2500  2 Sn 2.63, 2 Cd 2.76, 2 Cu 2.77
Cu3 0.8750 0.9150 0.7500  2 Sn 2.63, 2 Cd 2.76, 2 Cu 2.77
Cu4 0.0850 0.6250 0.2500  2 Sn 2.63, 2 Cd 2.76, 2 Cu 2.77
Cd1 0.5000 0.5000 0.0000  4 Cu 2.76, 4 Sn 3.00
Cd2 0.2500 0.7500 0.5000  4 Cu 2.76, 4 Sn 3.00
Sn1 0.7500 0.2500 0.5000  4 Cu 2.63
Sn2 0.0000 0.0000 0.0000  4 Cu 2.63

Calculated formation energy in kJ/mol of formula units: 109
Magnetic moment in Bohr magnetons per cell: 0.00
DFT total energy in eV/f.u.: -11.98


Entry 2:
Below is a relaxed structure of B3PC, with properties calculated at the PBE level.

a b c (Å): 3.0378 2.6184 5.9432
angles (deg): 90.00 97.75 90.00
With the nearest neighbours (Å) after each atom.
Fractional coordinates of all 5 atoms:
B1 0.5132 0.0000 0.9584  2 B 1.85, 2 P 1.89-1.90
B2 0.9661 0.0000 0.4756  2 C 1.51
B3 0.4695 0.5000 0.7372  2 C 1.67-1.80, 2 B 1.85
C1 0.9060 0.5000 0.5952  3 B 1.51-1.67
P1 0.0619 0.0000 0.1512  3 B 1.89-1.99

Calculated formation energy in kJ/mol of formula units: 129
Magnetic moment in Bohr magnetons per cell: 0.00
Energy above the most stable polymorph in this dataset in meV/atom: 20
DFT total energy in eV/f.u.: -33.33


Entry 3:
Below is a relaxed structure of Y2Ga5Ir4, with properties calculated at the PBE level.

a b c (Å): 5.3507 5.5437 8.2768
angles (deg): 81.03 71.14 61.15
With the nearest neighbours (Å) after each atom.
Fractional coordinates of all 11 atoms:
Ga1 0.2500 0.5000 0.5000  4 Ir 2.52, 2 Ga 2.68
Ga2 0.7500 0.5000 0.5000  4 Ir 2.52, 2 Ga 2.68
Ga3 0.5000 0.0000 0.0000  4 Ir 2.48, 4 Ga 2.77
Ga4 0.5000 0.5000 0.0000  4 Ir 2.59, 4 Ga 2.68-2.77
Ga5 0.0000 0.5000 0.0000  4 Ir 2.59, 4 Ga 2.68-2.77
Y1 0.8409 0.0000 0.3182  6 Ir 3.10-3.42, 4 Ga 3.12
Y2 0.1591 0.0000 0.6818  6 Ir 3.10-3.42, 4 Ga 3.12
Ir1 0.5244 0.6961 0.2552  5 Ga 2.48-2.59
Ir2 0.7796 0.6961 0.7448  5 Ga 2.48-2.59
Ir3 0.2204 0.3039 0.2552  5 Ga 2.48-2.59
Ir4 0.4756 0.3039 0.7448  5 Ga 2.48-2.59

Calculated formation energy in kJ/mol of formula units: -630
Magnetic moment in Bohr magnetons per cell: 0.00
DFT total energy in eV/f.u.: -70.04


Q: calculated formation energy of number 3 (Y2Ga5Ir4)?
A: -630 kJ/mol of formula units


Copy entry 2 word for word.
Below is a relaxed structure of B3PC, with properties calculated at the PBE level.

a b c (Å): 3.0378 2.6184 5.9432
angles (deg): 90.00 97.75 90.00
With the nearest neighbours (Å) after each atom.
Fractional coordinates of all 5 atoms:
B1 0.5132 0.0000 0.9584  2 B 1.85, 2 P 1.89-1.90
B2 0.9661 0.0000 0.4756  2 C 1.51
B3 0.4695 0.5000 0.7372  2 C 1.67-1.80, 2 B 1.85
C1 0.9060 0.5000 0.5952  3 B 1.51-1.67
P1 0.0619 0.0000 0.1512  3 B 1.89-1.99

Calculated formation energy in kJ/mol of formula units: 129
Magnetic moment in Bohr magnetons per cell: 0.00
Energy above the most stable polymorph in this dataset in meV/atom: 20
DFT total energy in eV/f.u.: -33.33


Q: magnetic moment of number 3 (Y2Ga5Ir4)?
A: 0.00 Bohr magnetons per cell